First-principles (GGA-PBE) data for an optimized crystal structure of Ca6Al2H, as listed in the Alexandria database.

Unit cell a=6.5947 b=8.4754 c=11.5889 alpha=90.00 beta=123.04 gamma=90.00
With the nearest neighbours (Å) after each atom.
Space group P2_1/c (No. 14)
Symmetry-distinct sites (fractional):
Ca  0.1099  0.1606  0.4450 (multiplicity 4)  1 H 2.66
Ca  0.2964  0.6840  0.4408 (multiplicity 4)  1 H 2.91, 2 Al 3.20-3.24
Ca  0.3511  0.0294  0.2480 (multiplicity 4)  1 H 2.54
Al  0.2000  0.1193  0.7526 (multiplicity 4)  8 Ca 3.15-3.33
H  0.5000  0.0000  0.5000 (multiplicity 2)  4 Ca 2.54-2.66

Results
Electronic total energy in eV per atom: -2.713

First-principles (GGA-PBE) data for an optimized crystal structure of Mn6Co5Rh, as listed in the Alexandria database.

Unit cell a=4.0893 b=5.7691 c=12.2697 alpha=90.00 beta=90.00 gamma=90.00
With the nearest neighbours (Å) after each atom.
Space group Immm (No. 71)
Symmetry-distinct sites (fractional):
Mn  0.0000  0.2402  0.0000 (multiplicity 4)  6 Co 2.47-2.53, 2 Rh 2.54
Mn  0.0000  0.2547  0.3298 (multiplicity 8)  7 Co 2.46-2.52, 1 Rh 2.55
Co  0.0000  0.0000  0.1674 (multiplicity 4)  8 Mn 2.48-2.49
Co  0.0000  0.5000  0.1661 (multiplicity 4)  8 Mn 2.46-2.53
Co  0.0000  0.5000  0.5000 (multiplicity 2)  8 Mn 2.47-2.52
Rh  0.0000  0.0000  0.5000 (multiplicity 2)  8 Mn 2.54-2.55

Results
DFT formation energy in meV/atom: -16

First-principles (GGA-PBE) data for an optimized crystal structure of TaCdRu4, as listed in the Alexandria database.

Unit cell a=7.2687 b=7.2687 c=7.2687 alpha=90.00 beta=90.00 gamma=90.00
With the nearest neighbours (Å) after each atom.
Space group F-43m (No. 216)
Symmetry-distinct sites (fractional):
Ta  0.0000  0.0000  0.0000 (multiplicity 4)  12 Ru 3.01, 4 Cd 3.15
Cd  0.2500  0.2500  0.7500 (multiplicity 4)  12 Ru 3.01, 4 Ta 3.15
Ru  0.1248  0.1248  0.3752 (multiplicity 16)  6 Ru 2.57

Results
DFT formation energy in meV/atom: 174